# 1
# Sc3Si4Ni7, optimized geometry, DFT PBE
# DOS(E_F) (states/eV per atom): 0.699
# E_form (uncorrected) (eV per atom): -0.745
# Space-group type: C2/m, No. 12
data_Sc3Si4Ni7
_cell_length_a 7.3270
_cell_length_b 7.3270
_cell_length_c 8.7305
_cell_angle_alpha 123.89
_cell_angle_beta 123.89
_cell_angle_gamma 29.52
_symmetry_space_group_name_H-M 'P 1'
_symmetry_Int_Tables_number 1
_symmetry_space_group_name_Hall 'P 1'
loop_
_atom_site_label
_atom_site_type_symbol
_atom_site_fract_x
_atom_site_fract_y
_atom_site_fract_z
_atom_site_occupancy
Sc1 Sc 0.0000 0.0000 0.0000 1
Sc2 Sc 0.3238 0.3238 0.3284 1
Sc3 Sc 0.6762 0.6762 0.6716 1
Si1 Si 0.1115 0.1115 0.8272 1
Si2 Si 0.3362 0.3362 0.7307 1
Si3 Si 0.6638 0.6638 0.2693 1
Si4 Si 0.8885 0.8885 0.1728 1
Ni1 Ni 0.0000 0.0000 0.5000 1
Ni2 Ni 0.1651 0.1651 0.4254 1
Ni3 Ni 0.3115 0.3115 0.9733 1
Ni4 Ni 0.4911 0.4911 0.7128 1
Ni5 Ni 0.5089 0.5089 0.2872 1
Ni6 Ni 0.6885 0.6885 0.0267 1
Ni7 Ni 0.8349 0.8349 0.5746 1

***

# 2
# CaTb4NdS8, optimized geometry, DFT PBE
# DOS(E_F) (states/eV per atom): 0.228
# E_form (uncorrected) (eV per atom): -1.992
# Space-group type: R3m, No. 160
data_CaTb4NdS8
_cell_length_a 8.1942
_cell_length_b 8.1942
_cell_length_c 8.1942
_cell_angle_alpha 59.57
_cell_angle_beta 59.57
_cell_angle_gamma 59.57
_symmetry_space_group_name_H-M 'P 1'
_symmetry_Int_Tables_number 1
_symmetry_space_group_name_Hall 'P 1'
loop_
_atom_site_label
_atom_site_type_symbol
_atom_site_fract_x
_atom_site_fract_y
_atom_site_fract_z
_atom_site_occupancy
Ca1 Ca 0.0000 0.0000 0.0000 1
Tb1 Tb 0.3725 0.3725 0.8800 1
Tb2 Tb 0.3725 0.8800 0.3725 1
Tb3 Tb 0.7488 0.7488 0.7488 1
Tb4 Tb 0.8800 0.3725 0.3725 1
Nd1 Nd 0.3725 0.3725 0.3725 1
S1 S 0.1295 0.1295 0.5959 1
S2 S 0.1295 0.5959 0.1295 1
S3 S 0.1347 0.1347 0.1347 1
S4 S 0.1452 0.6213 0.6213 1
S5 S 0.5959 0.1295 0.1295 1
S6 S 0.6161 0.6161 0.6161 1
S7 S 0.6213 0.1452 0.6213 1
S8 S 0.6213 0.6213 0.1452 1

***

# 3
# NaSrAu2, optimized geometry, DFT PBE
# DOS(E_F) (states/eV per atom): 0.324
# Energy relative to the lowest polymorph listed for this composition (eV/atom): 0.323
# Formation enthalpy at 0 K (eV/f.u.): -1.0
# Space-group type: I-42d, No. 122
data_NaSrAu2
_cell_length_a 9.9501
_cell_length_b 9.9501
_cell_length_c 9.9501
_cell_angle_alpha 149.78
_cell_angle_beta 149.78
_cell_angle_gamma 43.26
_symmetry_space_group_name_H-M 'P 1'
_symmetry_Int_Tables_number 1
_symmetry_space_group_name_Hall 'P 1'
loop_
_atom_site_label
_atom_site_type_symbol
_atom_site_fract_x
_atom_site_fract_y
_atom_site_fract_z
_atom_site_occupancy
Na1 Na 0.0000 0.0000 0.0000 1
Na2 Na 0.7500 0.2500 0.5000 1
Sr1 Sr 0.2500 0.7500 0.5000 1
Sr2 Sr 0.5000 0.5000 0.0000 1
Au1 Au 0.3750 0.2490 0.3740 1
Au2 Au 0.7510 0.1250 0.1260 1
Au3 Au 0.8750 0.0010 0.6260 1
Au4 Au 0.9990 0.6250 0.8740 1

***

# 4
# CsNbSi2S8, optimized geometry, DFT PBE
# DOS(E_F) (states/eV per atom): 0.846
# E_form (uncorrected) (eV per atom): -0.530
# Space-group type: P-3, No. 147
data_CsNbSi2S8
_cell_length_a 6.2086
_cell_length_b 6.2086
_cell_length_c 9.2685
_cell_angle_alpha 90.00
_cell_angle_beta 90.00
_cell_angle_gamma 120.00
_symmetry_space_group_name_H-M 'P 1'
_symmetry_Int_Tables_number 1
_symmetry_space_group_name_Hall 'P 1'
loop_
_atom_site_label
_atom_site_type_symbol
_atom_site_fract_x
_atom_site_fract_y
_atom_site_fract_z
_atom_site_occupancy
Cs1 Cs 0.0000 0.0000 0.0000 1
Nb1 Nb 0.0000 0.0000 0.5000 1
Si1 Si 0.3333 0.6667 0.7094 1
Si2 Si 0.6667 0.3333 0.2906 1
S1 S 0.0006 0.3327 0.6466 1
S2 S 0.3321 0.9994 0.6466 1
S3 S 0.3327 0.3321 0.3534 1
S4 S 0.3333 0.6667 0.9358 1
S5 S 0.6667 0.3333 0.0642 1
S6 S 0.6673 0.6679 0.6466 1
S7 S 0.6679 0.0006 0.3534 1
S8 S 0.9994 0.6673 0.3534 1

***

# 5
# SiB2PC, optimized geometry, DFT PBE
# DOS(E_F) (states/eV per atom): 0.192
# Energy relative to the lowest polymorph listed for this composition (eV/atom): 0.161
# E_form (uncorrected) (eV per atom): 0.274
# Space-group type: P1, No. 1
data_SiB2PC
_cell_length_a 2.9075
_cell_length_b 3.5083
_cell_length_c 5.7775
_cell_angle_alpha 99.94
_cell_angle_beta 96.59
_cell_angle_gamma 104.15
_symmetry_space_group_name_H-M 'P 1'
_symmetry_Int_Tables_number 1
_symmetry_space_group_name_Hall 'P 1'
loop_
_atom_site_label
_atom_site_type_symbol
_atom_site_fract_x
_atom_site_fract_y
_atom_site_fract_z
_atom_site_occupancy
Si1 Si 0.0000 0.0000 0.0000 1
B1 B 0.3326 0.3629 0.5212 1
B2 B 0.4898 0.7736 0.3835 1
P1 P 0.9025 0.4138 0.7435 1
C1 C 0.0353 0.9416 0.3207 1

***

# 6
# P2RuSe, optimized geometry, DFT PBE
# DOS(E_F) (states/eV per atom): 0.506
# E_form (uncorrected) (eV per atom): 0.532
# Space-group type: I4/mmm, No. 139
data_P2RuSe
_cell_length_a 4.6244
_cell_length_b 4.6244
_cell_length_c 4.6244
_cell_angle_alpha 127.70
_cell_angle_beta 127.70
_cell_angle_gamma 77.12
_symmetry_space_group_name_H-M 'P 1'
_symmetry_Int_Tables_number 1
_symmetry_space_group_name_Hall 'P 1'
loop_
_atom_site_label
_atom_site_type_symbol
_atom_site_fract_x
_atom_site_fract_y
_atom_site_fract_z
_atom_site_occupancy
P1 P 0.2500 0.7500 0.5000 1
P2 P 0.7500 0.2500 0.5000 1
Ru1 Ru 0.0000 0.0000 0.0000 1
Se1 Se 0.5000 0.5000 0.0000 1

***

# 7
# BeCd2B, optimized geometry, DFT PBE
# DOS(E_F) (states/eV per atom): 0.560
# Energy relative to the lowest polymorph listed for this composition (eV/atom): 0.626
# Formation enthalpy at 0 K (eV/f.u.): 4.3
# Space-group type: Fm-3m, No. 225
data_BeCd2B
_cell_length_a 4.4179
_cell_length_b 4.4179
_cell_length_c 4.4179
_cell_angle_alpha 60.00
_cell_angle_beta 60.00
_cell_angle_gamma 60.00
_symmetry_space_group_name_H-M 'P 1'
_symmetry_Int_Tables_number 1
_symmetry_space_group_name_Hall 'P 1'
loop_
_atom_site_label
_atom_site_type_symbol
_atom_site_fract_x
_atom_site_fract_y
_atom_site_fract_z
_atom_site_occupancy
Be1 Be 0.0000 0.0000 0.0000 1
Cd1 Cd 0.2500 0.2500 0.2500 1
Cd2 Cd 0.7500 0.7500 0.7500 1
B1 B 0.5000 0.5000 0.5000 1

***

# 8
# BeNiTe, optimized geometry, DFT PBE
# DOS(E_F) (states/eV per atom): 0.579
# E_form (uncorrected) (eV per atom): 0.130
# Space-group type: Pnma, No. 62
data_BeNiTe
_cell_length_a 5.2137
_cell_length_b 7.5524
_cell_length_c 4.6865
_cell_angle_alpha 90.00
_cell_angle_beta 90.00
_cell_angle_gamma 90.00
_symmetry_space_group_name_H-M 'P 1'
_symmetry_Int_Tables_number 1
_symmetry_space_group_name_Hall 'P 1'
loop_
_atom_site_label
_atom_site_type_symbol
_atom_site_fract_x
_atom_site_fract_y
_atom_site_fract_z
_atom_site_occupancy
Be1 Be 0.1631 0.2500 0.1586 1
Be2 Be 0.3369 0.7500 0.6586 1
Be3 Be 0.6631 0.2500 0.3414 1
Be4 Be 0.8369 0.7500 0.8414 1
Ni1 Ni 0.1896 0.7500 0.1706 1
Ni2 Ni 0.3104 0.2500 0.6706 1
Ni3 Ni 0.6896 0.7500 0.3294 1
Ni4 Ni 0.8104 0.2500 0.8294 1
Te1 Te 0.0000 0.0000 0.5000 1
Te2 Te 0.0000 0.5000 0.5000 1
Te3 Te 0.5000 0.0000 0.0000 1
Te4 Te 0.5000 0.5000 0.0000 1

***

# 9
# Sm3C2I2, optimized geometry, DFT PBE
# DOS(E_F) (states/eV per atom): 0.537
# E_form (uncorrected) (eV per atom): -0.472
# Space-group type: P-1, No. 2
data_Sm3C2I2
_cell_length_a 3.7500
_cell_length_b 6.3741
_cell_length_c 8.1862
_cell_angle_alpha 98.49
_cell_angle_beta 93.18
_cell_angle_gamma 102.79
_symmetry_space_group_name_H-M 'P 1'
_symmetry_Int_Tables_number 1
_symmetry_space_group_name_Hall 'P 1'
loop_
_atom_site_label
_atom_site_type_symbol
_atom_site_fract_x
_atom_site_fract_y
_atom_site_fract_z
_atom_site_occupancy
Sm1 Sm 0.0000 0.0000 0.0000 1
Sm2 Sm 0.2010 0.4475 0.8081 1
Sm3 Sm 0.7990 0.5525 0.1919 1
C1 C 0.3635 0.7226 0.0523 1
C2 C 0.6365 0.2774 0.9477 1
I1 I 0.1856 0.2304 0.3774 1
I2 I 0.8144 0.7696 0.6226 1

***

# 10
# Cr2Te6Pt, optimized geometry, DFT PBE
# DOS(E_F) (states/eV per atom): 0.458
# E_form (uncorrected) (eV per atom): -0.243
# Space-group type: P-31m, No. 162
data_Cr2Te6Pt
_cell_length_a 6.7997
_cell_length_b 6.7997
_cell_length_c 5.9795
_cell_angle_alpha 90.00
_cell_angle_beta 90.00
_cell_angle_gamma 120.00
_symmetry_space_group_name_H-M 'P 1'
_symmetry_Int_Tables_number 1
_symmetry_space_group_name_Hall 'P 1'
loop_
_atom_site_label
_atom_site_type_symbol
_atom_site_fract_x
_atom_site_fract_y
_atom_site_fract_z
_atom_site_occupancy
Cr1 Cr 0.3333 0.6667 0.0000 1
Cr2 Cr 0.6667 0.3333 0.0000 1
Te1 Te 0.0000 0.3354 0.2486 1
Te2 Te 0.0000 0.6646 0.7514 1
Te3 Te 0.3354 0.0000 0.2486 1
Te4 Te 0.3354 0.3354 0.7514 1
Te5 Te 0.6646 0.0000 0.7514 1
Te6 Te 0.6646 0.6646 0.2486 1
Pt1 Pt 0.0000 0.0000 0.0000 1

***

Number 1: magnetization 0.00 μB/f.u.. Number 2: magnetization 0.00 μB/f.u.. Number 3: magnetization 0.00 μB/f.u.. Number 4: magnetization 1.82 μB/f.u.. Number 5: magnetization 0.00 μB/f.u.. Number 6: magnetization 0.00 μB/f.u.. Number 7: magnetization 0.00 μB/f.u.. Number 8: magnetization 0.00 μB/f.u.. Number 9: magnetization 0.00 μB/f.u.. Number 10: magnetization 5.19 μB/f.u..